# YSnSb3 GGA-PBE optimized geometry
data_YSnSb3
_chemical_formula_sum 'Y1 Sn1 Sb3'
_symmetry_space_group_name_H-M 'P m -3 m'
_symmetry_Int_Tables_number 221
_symmetry_space_group_name_Hall '-P 4 2 3'
_cell_length_a 5.751
_cell_length_b 5.751
_cell_length_c 5.751
_cell_angle_alpha 90.00
_cell_angle_beta 90.00
_cell_angle_gamma 90.00
loop_
_atom_site_label
_atom_site_fract_x
_atom_site_fract_y
_atom_site_fract_z
Y1 0.000 0.000 0.000
Sn1 0.500 0.500 0.500
Sb1 0.000 0.000 0.500
# * M_tot: 0.000 μB/cell
# * E above lowest polymorph: 0 meV/atom
# * ΔE_f (raw): 1.783 eV/f.u.
# * energy: -4.210 eV per atom